No. 1
Computed, not measured: PrNd4Dy2 after structural relaxation at the PBE level of DFT. Values from VASP.

**Formation energy from the elements**: 116 meV per atom
**Offset from the most stable computed form**: 0.056 eV/atom
**Mass density**: 7.2 g cm⁻³

Structure (Quantum ESPRESSO input):
```
&SYSTEM
  ibrav = 0, nat = 14, ntyp = 3
/
ATOMIC_SPECIES
Pr 140.91 Pr.upf
Nd 144.24 Nd.upf
Dy 162.50 Dy.upf
CELL_PARAMETERS angstrom
6.2074 0.0000 0.0000
0.0000 6.7131 0.0000
-3.0391 0.0000 11.4733
ATOMIC_POSITIONS angstrom
Pr -1.0136 1.6783 3.9901
Pr 4.1819 5.0348 7.4832
Nd -1.0059 1.6783 7.4489
Nd -1.0388 5.0348 10.8055
Nd 1.5850 0.0046 2.4455
Nd 1.5850 3.3520 2.4455
Nd 1.5833 3.3611 9.0278
Nd 1.5833 6.7085 9.0278
Nd 4.2071 1.6783 0.6678
Nd 4.1741 5.0348 4.0244
Dy -1.9470 1.6783 10.7426
Dy 0.9848 5.0348 5.7148
Dy 2.1835 1.6783 5.7585
Dy 5.1152 5.0348 0.7307
```


No. 2
Computed, not measured: CaIn2Cl after structural relaxation at the PBE level of DFT. Values from VASP.

**Offset from the most stable computed form**: 0.289 eV/atom
**Mass density**: 4.0 g cm⁻³

Structure (Quantum ESPRESSO input):
```
&SYSTEM
  ibrav = 0, nat = 4, ntyp = 3
/
ATOMIC_SPECIES
Ca 40.08 Ca.upf
In 114.82 In.upf
Cl 35.45 Cl.upf
CELL_PARAMETERS angstrom
4.7637 0.0000 0.0000
0.0000 4.7637 0.0000
0.0000 0.0000 5.5738
ATOMIC_POSITIONS angstrom
Ca 0.0000 0.0000 0.0000
In 2.3818 2.3818 1.3653
In 2.3818 2.3818 4.2085
Cl 0.0000 0.0000 2.7869
```


No. 3
Computed, not measured: Dy12ZrNi6 after structural relaxation at the PBE level of DFT. Values from VASP.

**Formation energy from the elements**: -225 meV per atom
**Mass density**: 8.6 g cm⁻³

Structure (Quantum ESPRESSO input):
```
&SYSTEM
  ibrav = 0, nat = 19, ntyp = 3
/
ATOMIC_SPECIES
Dy 162.50 Dy.upf
Zr 91.22 Zr.upf
Ni 58.69 Ni.upf
CELL_PARAMETERS angstrom
-4.8682 4.8682 4.8682
4.8682 -4.8682 4.8682
4.8682 4.8682 -4.8682
ATOMIC_POSITIONS angstrom
Dy 4.8682 -1.9037 3.0805
Dy 2.9645 1.7877 0.0000
Dy 6.7720 1.7877 0.0000
Dy 3.0805 4.8682 -1.9037
Dy 1.7877 0.0000 2.9645
Dy 0.0000 2.9645 1.7877
Dy 4.8682 1.9037 3.0805
Dy 3.0805 4.8682 1.9037
Dy 1.7877 0.0000 6.7720
Dy -1.9037 3.0805 4.8682
Dy 1.9037 3.0805 4.8682
Dy 0.0000 6.7720 1.7877
Zr 0.0000 0.0000 0.0000
Ni 4.8682 0.0000 1.2050
Ni 4.8682 3.6632 0.0000
Ni 1.2050 4.8682 0.0000
Ni 3.6632 0.0000 4.8682
Ni 0.0000 1.2050 4.8682
Ni 0.0000 4.8682 3.6632
```


No. 4
Computed, not measured: BeTlCd2 after structural relaxation at the PBE level of DFT. Values from VASP.

**Formation energy from the elements**: 289 meV per atom
**Offset from the most stable computed form**: 0.000 eV/atom
**Mass density**: 8.4 g cm⁻³

Structure (Quantum ESPRESSO input):
```
&SYSTEM
  ibrav = 0, nat = 4, ntyp = 3
/
ATOMIC_SPECIES
Be 9.01 Be.upf
Tl 204.38 Tl.upf
Cd 112.41 Cd.upf
CELL_PARAMETERS angstrom
-1.4965 2.1672 6.6922
1.4965 -2.1672 6.6922
1.4965 2.1672 -6.6922
ATOMIC_POSITIONS angstrom
Be 0.0000 0.0000 0.0000
Tl 0.0000 2.1672 4.1116
Cd 1.4965 0.0000 2.2262
Cd 0.0000 0.0000 6.6278
```


No. 5
Computed, not measured: La3Pd3Au2 after structural relaxation at the PBE level of DFT. Values from VASP.

**Formation energy from the elements**: -808 meV per atom
**Mass density**: 9.8 g cm⁻³

Structure (Quantum ESPRESSO input):
```
&SYSTEM
  ibrav = 0, nat = 32, ntyp = 3
/
ATOMIC_SPECIES
La 138.91 La.upf
Pd 106.42 Pd.upf
Au 196.97 Au.upf
CELL_PARAMETERS angstrom
7.7033 0.0000 0.0000
0.0000 17.1458 0.0000
0.0000 0.0000 5.7802
ATOMIC_POSITIONS angstrom
La 0.2422 1.7184 0.7900
La 0.2422 6.8545 0.7900
La 1.3143 4.2865 3.6038
La 2.5374 12.8594 0.7137
La 3.6095 10.2913 3.6801
La 3.6095 15.4274 3.6801
La 4.0939 1.7184 2.1002
La 4.0939 6.8545 2.1002
La 5.1660 4.2865 5.0666
La 6.3890 12.8594 2.1764
La 7.4611 10.2913 4.9903
La 7.4611 15.4274 4.9903
Pd 1.4717 0.4378 3.3054
Pd 1.4717 8.1351 3.3054
Pd 1.5039 12.8594 3.7930
Pd 2.3478 4.2865 0.9029
Pd 2.3800 9.0107 0.4153
Pd 2.3800 16.7080 0.4153
Pd 5.3234 0.4378 5.3649
Pd 5.3234 8.1351 5.3649
Pd 5.3556 12.8594 4.8773
Pd 6.1994 4.2865 1.9872
Pd 6.2316 9.0107 2.4748
Pd 6.2316 16.7080 2.4748
Au 0.8630 10.6080 2.0818
Au 0.8630 15.1107 2.0818
Au 2.9887 2.0351 4.9719
Au 2.9887 6.5378 4.9719
Au 4.7146 10.6080 0.8083
Au 4.7146 15.1107 0.8083
Au 6.8404 2.0351 3.6984
Au 6.8404 6.5378 3.6984
```


No. 6
Computed, not measured: SrCd3Pt3 after structural relaxation at the PBE level of DFT. Values from VASP.

**Formation energy from the elements**: 46 meV per atom
**Mass density**: 8.3 g cm⁻³

Structure (Quantum ESPRESSO input):
```
&SYSTEM
  ibrav = 0, nat = 14, ntyp = 3
/
ATOMIC_SPECIES
Sr 87.62 Sr.upf
Cd 112.41 Cd.upf
Pt 195.08 Pt.upf
CELL_PARAMETERS angstrom
7.4075 0.0000 0.0000
0.0000 7.4075 0.0000
0.0000 0.0000 7.4075
ATOMIC_POSITIONS angstrom
Sr 0.0000 0.0000 0.0000
Sr 3.7038 3.7038 3.7038
Cd 0.0000 1.8519 3.7038
Cd 0.0000 5.5556 3.7038
Cd 1.8519 3.7038 0.0000
Cd 3.7038 0.0000 1.8519
Cd 3.7038 0.0000 5.5556
Cd 5.5556 3.7038 0.0000
Pt 0.0000 3.7038 1.8519
Pt 0.0000 3.7038 5.5556
Pt 1.8519 0.0000 3.7038
Pt 3.7038 1.8519 0.0000
Pt 3.7038 5.5556 0.0000
Pt 5.5556 0.0000 3.7038
```


Number 1: DOS at the Fermi energy 1.5046 states/eV per atom. Number 2: DOS at the Fermi energy 0.4492 states/eV per atom. Number 3: DOS at the Fermi energy 1.3478 states/eV per atom. Number 4: DOS at the Fermi energy 0.2655 states/eV per atom. Number 5: DOS at the Fermi energy 0.5550 states/eV per atom. Number 6: DOS at the Fermi energy 0.4383 states/eV per atom.